[1]
SrSmCdHg | PBE-GGA | relaxed

Structure (CIF):
```
data_SrSmCdHg
_chemical_formula_sum 'Sr4 Sm4 Cd4 Hg4'
_cell_length_a 7.7992
_cell_length_b 7.7992
_cell_length_c 7.7992
_cell_angle_alpha 90.00
_cell_angle_beta 90.00
_cell_angle_gamma 90.00
_symmetry_space_group_name_H-M 'F -4 3 m'
_symmetry_Int_Tables_number 216
_symmetry_space_group_name_Hall 'F -4 2 3'
loop_
_atom_site_label
_atom_site_fract_x
_atom_site_fract_y
_atom_site_fract_z
_atom_site_occupancy
Sr1 0.0000 0.0000 0.0000 1
Sm1 0.0000 0.0000 0.5000 1
Cd1 0.2500 0.2500 0.2500 1
Hg1 0.2500 0.2500 0.7500 1
```

Calculated values
N(E_F)	0.99	states/eV/atom
total magnetization	0.0	μB per cell
polymorph energy (0 for the lowest one)	0.030	eV per atom

[2]
Sr2SmCd3Hg12 | PBE-GGA | relaxed

Structure (CIF):
```
data_Sr2SmCd3Hg12
_chemical_formula_sum 'Sr6 Sm3 Cd9 Hg36'
_cell_length_a 7.1021
_cell_length_b 7.1021
_cell_length_c 37.1793
_cell_angle_alpha 90.00
_cell_angle_beta 90.00
_cell_angle_gamma 120.00
_symmetry_space_group_name_H-M 'R -3 m'
_symmetry_Int_Tables_number 166
_symmetry_space_group_name_Hall '-R 3 2"'
loop_
_atom_site_label
_atom_site_fract_x
_atom_site_fract_y
_atom_site_fract_z
_atom_site_occupancy
Sr1 0.0000 0.0000 0.1353 1
Sm1 0.0000 0.0000 0.5000 1
Cd1 0.0000 0.5000 0.0000 1
Hg1 0.0282 0.5141 0.8881 1
Hg2 0.0434 0.5217 0.6134 1
```

Calculated values
N(E_F)	0.56	states/eV/atom
total magnetization	0.0	μB per cell
final energy	-51.6	eV per cell

[3]
TbSmCdHg | PBE-GGA | relaxed

Structure (CIF):
```
data_TbSmCdHg
_chemical_formula_sum 'Tb4 Sm4 Cd4 Hg4'
_cell_length_a 7.5483
_cell_length_b 7.5483
_cell_length_c 7.5483
_cell_angle_alpha 90.00
_cell_angle_beta 90.00
_cell_angle_gamma 90.00
_symmetry_space_group_name_H-M 'F -4 3 m'
_symmetry_Int_Tables_number 216
_symmetry_space_group_name_Hall 'F -4 2 3'
loop_
_atom_site_label
_atom_site_fract_x
_atom_site_fract_y
_atom_site_fract_z
_atom_site_occupancy
Tb1 0.0000 0.0000 0.0000 1
Sm1 0.0000 0.0000 0.5000 1
Cd1 0.2500 0.2500 0.2500 1
Hg1 0.2500 0.2500 0.7500 1
```

Calculated values
N(E_F)	1.03	states/eV/atom
total magnetization	2.9	μB per cell
polymorph energy (0 for the lowest one)	0.003	eV per atom

[4]
Tb2SmCdHg4 | PBE-GGA | relaxed

Structure (CIF):
```
data_Tb2SmCdHg4
_chemical_formula_sum 'Tb6 Sm3 Cd3 Hg12'
_cell_length_a 5.1650
_cell_length_b 5.1650
_cell_length_c 26.4471
_cell_angle_alpha 90.00
_cell_angle_beta 90.00
_cell_angle_gamma 120.00
_symmetry_space_group_name_H-M 'R -3 m'
_symmetry_Int_Tables_number 166
_symmetry_space_group_name_Hall '-R 3 2"'
loop_
_atom_site_label
_atom_site_fract_x
_atom_site_fract_y
_atom_site_fract_z
_atom_site_occupancy
Tb1 0.0000 0.0000 0.2413 1
Sm1 0.0000 0.0000 0.0000 1
Cd1 0.0000 0.0000 0.5000 1
Hg1 0.0000 0.0000 0.1230 1
Hg2 0.0000 0.0000 0.3717 1
```

Calculated values
N(E_F)	0.71	states/eV/atom
total magnetization	0.0	μB per cell
final energy	-58.5	eV per cell

[5]
TbSmCdHg | PBE-GGA | relaxed

Structure (CIF):
```
data_TbSmCdHg
_chemical_formula_sum 'Tb1 Sm1 Cd1 Hg1'
_cell_length_a 3.7638
_cell_length_b 3.7638
_cell_length_c 7.5954
_cell_angle_alpha 90.00
_cell_angle_beta 90.00
_cell_angle_gamma 90.00
_symmetry_space_group_name_H-M 'P 4 m m'
_symmetry_Int_Tables_number 99
_symmetry_space_group_name_Hall 'P 4 -2'
loop_
_atom_site_label
_atom_site_fract_x
_atom_site_fract_y
_atom_site_fract_z
_atom_site_occupancy
Tb1 0.0000 0.0000 0.0000 1
Sm1 0.0000 0.0000 0.5046 1
Cd1 0.5000 0.5000 0.2446 1
Hg1 0.5000 0.5000 0.7639 1
```

Calculated values
N(E_F)	1.14	states/eV/atom
total magnetization	0.7	μB per cell
polymorph energy (0 for the lowest one)	0.000	eV per atom

[6]
Tb2SmCd2Hg2 | PBE-GGA | relaxed

Structure (CIF):
```
data_Tb2SmCd2Hg2
_chemical_formula_sum 'Tb6 Sm3 Cd6 Hg6'
_cell_length_a 4.9567
_cell_length_b 4.9567
_cell_length_c 26.5911
_cell_angle_alpha 90.00
_cell_angle_beta 90.00
_cell_angle_gamma 120.00
_symmetry_space_group_name_H-M 'R -3 m'
_symmetry_Int_Tables_number 166
_symmetry_space_group_name_Hall '-R 3 2"'
loop_
_atom_site_label
_atom_site_fract_x
_atom_site_fract_y
_atom_site_fract_z
_atom_site_occupancy
Tb1 0.0000 0.0000 0.1256 1
Sm1 0.0000 0.0000 0.0000 1
Cd1 0.0000 0.0000 0.2570 1
Hg1 0.0000 0.0000 0.3992 1
```

Calculated values
N(E_F)	0.74	states/eV/atom
total magnetization	0.0	μB per cell
final energy	-54.5	eV per cell

[7]
Sm2ThCd2Hg2 | PBE-GGA | relaxed

Structure (CIF):
```
data_Sm2ThCd2Hg2
_chemical_formula_sum 'Sm6 Th3 Cd6 Hg6'
_cell_length_a 4.9781
_cell_length_b 4.9781
_cell_length_c 27.1692
_cell_angle_alpha 90.00
_cell_angle_beta 90.00
_cell_angle_gamma 120.00
_symmetry_space_group_name_H-M 'R -3 m'
_symmetry_Int_Tables_number 166
_symmetry_space_group_name_Hall '-R 3 2"'
loop_
_atom_site_label
_atom_site_fract_x
_atom_site_fract_y
_atom_site_fract_z
_atom_site_occupancy
Sm1 0.0000 0.0000 0.1260 1
Th1 0.0000 0.0000 0.0000 1
Cd1 0.0000 0.0000 0.2588 1
Hg1 0.0000 0.0000 0.3953 1
```

Calculated values
N(E_F)	0.75	states/eV/atom
total magnetization	0.0	μB per cell
final energy	-61.7	eV per cell

[8]
SmThCdHg | PBE-GGA | relaxed

Structure (CIF):
```
data_SmThCdHg
_chemical_formula_sum 'Sm4 Th4 Cd4 Hg4'
_cell_length_a 7.6483
_cell_length_b 7.6483
_cell_length_c 7.6483
_cell_angle_alpha 90.00
_cell_angle_beta 90.00
_cell_angle_gamma 90.00
_symmetry_space_group_name_H-M 'F -4 3 m'
_symmetry_Int_Tables_number 216
_symmetry_space_group_name_Hall 'F -4 2 3'
loop_
_atom_site_label
_atom_site_fract_x
_atom_site_fract_y
_atom_site_fract_z
_atom_site_occupancy
Sm1 0.0000 0.0000 0.0000 1
Th1 0.0000 0.0000 0.5000 1
Cd1 0.2500 0.2500 0.2500 1
Hg1 0.2500 0.2500 0.7500 1
```

Calculated values
N(E_F)	1.49	states/eV/atom
total magnetization	2.9	μB per cell
final energy	-57.1	eV per cell

[9]
Sm4TlCd2Hg | PBE-GGA | relaxed

Structure (CIF):
```
data_Sm4TlCd2Hg
_chemical_formula_sum 'Sm12 Tl3 Cd6 Hg3'
_cell_length_a 5.4053
_cell_length_b 5.4053
_cell_length_c 26.5084
_cell_angle_alpha 90.00
_cell_angle_beta 90.00
_cell_angle_gamma 120.00
_symmetry_space_group_name_H-M 'R -3 m'
_symmetry_Int_Tables_number 166
_symmetry_space_group_name_Hall '-R 3 2"'
loop_
_atom_site_label
_atom_site_fract_x
_atom_site_fract_y
_atom_site_fract_z
_atom_site_occupancy
Sm1 0.0000 0.0000 0.1233 1
Sm2 0.0000 0.0000 0.3733 1
Tl1 0.0000 0.0000 0.5000 1
Cd1 0.0000 0.0000 0.2495 1
Hg1 0.0000 0.0000 0.0000 1
```

Calculated values
N(E_F)	1.19	states/eV/atom
total magnetization	5.1	μB per cell
final energy	-79.0	eV per cell

[10]
Sm4TlCdHg2 | PBE-GGA | relaxed

Structure (CIF):
```
data_Sm4TlCdHg2
_chemical_formula_sum 'Sm12 Tl3 Cd3 Hg6'
_cell_length_a 5.3968
_cell_length_b 5.3968
_cell_length_c 26.5230
_cell_angle_alpha 90.00
_cell_angle_beta 90.00
_cell_angle_gamma 120.00
_symmetry_space_group_name_H-M 'R -3 m'
_symmetry_Int_Tables_number 166
_symmetry_space_group_name_Hall '-R 3 2"'
loop_
_atom_site_label
_atom_site_fract_x
_atom_site_fract_y
_atom_site_fract_z
_atom_site_occupancy
Sm1 0.0000 0.0000 0.1246 1
Sm2 0.0000 0.0000 0.3747 1
Tl1 0.0000 0.0000 0.5000 1
Cd1 0.0000 0.0000 0.0000 1
Hg1 0.0000 0.0000 0.2526 1
```

Calculated values
N(E_F)	1.13	states/eV/atom
total magnetization	5.6	μB per cell
final energy	-78.0	eV per cell

[11]
SmTm2CdHg4 | PBE-GGA | relaxed

Structure (CIF):
```
data_SmTm2CdHg4
_chemical_formula_sum 'Sm3 Tm6 Cd3 Hg12'
_cell_length_a 5.1119
_cell_length_b 5.1119
_cell_length_c 26.3432
_cell_angle_alpha 90.00
_cell_angle_beta 90.00
_cell_angle_gamma 120.00
_symmetry_space_group_name_H-M 'R -3 m'
_symmetry_Int_Tables_number 166
_symmetry_space_group_name_Hall '-R 3 2"'
loop_
_atom_site_label
_atom_site_fract_x
_atom_site_fract_y
_atom_site_fract_z
_atom_site_occupancy
Sm1 0.0000 0.0000 0.0000 1
Tm1 0.0000 0.0000 0.2417 1
Cd1 0.0000 0.0000 0.5000 1
Hg1 0.0000 0.0000 0.1237 1
Hg2 0.0000 0.0000 0.3749 1
```

Calculated values
N(E_F)	0.70	states/eV/atom
total magnetization	0.0	μB per cell
final energy	-56.9	eV per cell

[12]
SmTmCd2Hg4 | PBE-GGA | relaxed

Structure (CIF):
```
data_SmTmCd2Hg4
_chemical_formula_sum 'Sm3 Tm3 Cd6 Hg12'
_cell_length_a 5.0995
_cell_length_b 5.0995
_cell_length_c 25.1343
_cell_angle_alpha 90.00
_cell_angle_beta 90.00
_cell_angle_gamma 120.00
_symmetry_space_group_name_H-M 'R -3 m'
_symmetry_Int_Tables_number 166
_symmetry_space_group_name_Hall '-R 3 2"'
loop_
_atom_site_label
_atom_site_fract_x
_atom_site_fract_y
_atom_site_fract_z
_atom_site_occupancy
Sm1 0.0000 0.0000 0.0000 1
Tm1 0.0000 0.0000 0.5000 1
Cd1 0.0000 0.0000 0.2505 1
Hg1 0.0000 0.0000 0.1273 1
Hg2 0.0000 0.0000 0.3780 1
```

Calculated values
N(E_F)	0.44	states/eV/atom
total magnetization	0.0	μB per cell
final energy	-45.5	eV per cell